Density functional theory data (PBE) for an optimized crystal structure of ErTm2Tl6.

The structure belongs to space group C2/c (No. 15); the cell edges are 13.970, 11.248 and 6.293 Å and the angles 90.00°, 92.28° and 90.00°. The distinct sites, in fractional coordinates, are Er at (0.000, 0.120, 0.250), Tm at (0.167, 0.380, 0.417), Tl at (0.055, 0.368, 0.973), Tl at (0.112, 0.133, 0.695) and Tl at (0.222, 0.132, 0.140).

Its formation enthalpy at 0 K is -0.149 eV per atom. For the total moment, the calculation gives 0.0 Bohr magnetons per cell.

=====

Density functional theory data (PBE) for an optimized crystal structure of Al2AgBi2.

The structure belongs to space group I4/mmm (No. 139); the cell edges are 3.955, 3.955 and 16.106 Å and the angles 90.00°, 90.00° and 90.00°. The distinct sites, in fractional coordinates, are Al at (0.000, 0.500, 0.250), Ag at (0.000, 0.000, 0.000) and Bi at (0.000, 0.000, 0.391).

Its formation enthalpy at 0 K is 0.259 eV per atom. For the total moment, the calculation gives 0.0 Bohr magnetons per cell. The energy above the most stable polymorph in this dataset comes out at 70 meV/atom.

=====

Density functional theory data (PBE) for an optimized crystal structure of TmTh2PaP4.

The structure belongs to space group P2/m (No. 10); the cell edges are 7.003, 4.054 and 7.019 Å and the angles 90.00°, 109.49° and 90.00°. The distinct sites, in fractional coordinates, are Tm at (0.000, 0.000, 0.000), Th at (0.000, 0.500, 0.500), Th at (0.500, 0.000, 0.500), Pa at (0.500, 0.500, 0.000), P at (0.246, 0.500, 0.236) and P at (0.254, 0.000, 0.764).

Its formation enthalpy at 0 K is -1.495 eV per atom. For the total moment, the calculation gives 0.0 Bohr magnetons per cell.

=====

Density functional theory data (PBE) for an optimized crystal structure of HfIrPd2Se.

The structure belongs to space group P4/mmm (No. 123); the cell edges are 4.820, 4.820 and 4.915 Å and the angles 90.00°, 90.00° and 90.00°. The distinct sites, in fractional coordinates, are Hf at (0.000, 0.000, 0.000), Ir at (0.500, 0.500, 0.500), Pd at (0.000, 0.500, 0.000) and Se at (0.000, 0.000, 0.500).

As for the calculated total energy: -5.518 eV/atom. For the total moment, the calculation gives 1.1 Bohr magnetons per cell.

=====

Density functional theory data (PBE) for an optimized crystal structure of SiCl.

The structure belongs to space group Pm-3m (No. 221); the cell edges are 3.390, 3.390 and 3.390 Å and the angles 90.00°, 90.00° and 90.00°. The distinct sites, in fractional coordinates, are Si at (0.000, 0.000, 0.000) and Cl at (0.500, 0.500, 0.500).

For the total moment, the calculation gives 0.0 Bohr magnetons per cell. The energy above the most stable polymorph in this dataset comes out at 1238 meV/atom.

=====

Density functional theory data (PBE) for an optimized crystal structure of TiGaNiPt.

The structure belongs to space group F-43m (No. 216); the cell edges are 6.117, 6.117 and 6.117 Å and the angles 90.00°, 90.00° and 90.00°. The distinct sites, in fractional coordinates, are Ti at (0.000, 0.000, 0.000), Ga at (0.000, 0.000, 0.500), Ni at (0.250, 0.250, 0.250) and Pt at (0.250, 0.250, 0.750).

Its formation enthalpy at 0 K is -0.662 eV per atom. For the total moment, the calculation gives 0.0 Bohr magnetons per cell. The energy above the most stable polymorph in this dataset comes out at 16 meV/atom.

=====

Density functional theory data (PBE) for an optimized crystal structure of Th2UMnN5.

The structure belongs to space group P4/mbm (No. 127); the cell edges are 6.623, 6.623 and 5.754 Å and the angles 90.00°, 90.00° and 90.00°. The distinct sites, in fractional coordinates, are Th at (0.167, 0.333, 0.000), U at (0.000, 0.000, 0.500), Mn at (0.000, 0.500, 0.500), N at (0.000, 0.000, 0.000) and N at (0.152, 0.652, 0.280).

As for the calculated total energy: -9.479 eV/atom. For the total moment, the calculation gives 9.3 Bohr magnetons per cell.

=====

Density functional theory data (PBE) for an optimized crystal structure of LiDyMgIn2.

The structure belongs to space group Pmma (No. 51); the cell edges are 5.753, 6.426 and 6.343 Å and the angles 90.00°, 90.00° and 90.00°. The distinct sites, in fractional coordinates, are Li at (0.000, 0.000, 0.000), Dy at (0.250, 0.500, 0.211), Mg at (0.250, 0.000, 0.366) and In at (0.250, 0.268, 0.732).

Its formation enthalpy at 0 K is -0.209 eV per atom. For the total moment, the calculation gives 0.0 Bohr magnetons per cell.

=====

Density functional theory data (PBE) for an optimized crystal structure of Dy2Tm5Ga5.

The structure belongs to space group C2/m (No. 12); the cell edges are 11.449, 4.534 and 12.339 Å and the angles 90.00°, 108.90° and 90.00°. The distinct sites, in fractional coordinates, are Dy at (0.045, 0.000, 0.275), Tm at (0.000, 0.500, 0.000), Tm at (0.156, 0.500, 0.525), Tm at (0.196, 0.500, 0.813), Ga at (0.000, 0.000, 0.500), Ga at (0.153, 0.000, 0.953) and Ga at (0.235, 0.500, 0.307).

Its formation enthalpy at 0 K is -0.402 eV per atom. For the total moment, the calculation gives 0.0 Bohr magnetons per cell.

=====

Density functional theory data (PBE) for an optimized crystal structure of TlIrPdCl6.

The structure belongs to space group P312 (No. 149); the cell edges are 6.4573, 6.4573 and 7.0881 Å and the angles 90.00°, 90.00° and 120.00°. The distinct sites, in fractional coordinates, are Tl at (0.0000, 0.0000, 0.0000), Ir at (0.6667, 0.3333, 0.5000), Pd at (0.3333, 0.6667, 0.5000) and Cl at (0.3742, 0.0231, 0.6885).

As for the calculated total energy: -3.602 eV/atom. For the total moment, the calculation gives 2.0 Bohr magnetons per cell.

=====

Density functional theory data (PBE) for an optimized crystal structure of Ti2ZnHIr.

The structure belongs to space group P4/mmm (No. 123); the cell edges are 4.065, 4.065 and 3.818 Å and the angles 90.00°, 90.00° and 90.00°. The distinct sites, in fractional coordinates, are Ti at (0.000, 0.500, 0.000), Zn at (0.000, 0.000, 0.500), H at (0.500, 0.500, 0.000) and Ir at (0.500, 0.500, 0.500).

For the total moment, the calculation gives 0.0 Bohr magnetons per cell. The energy above the most stable polymorph in this dataset comes out at 0 meV/atom.

=====

Density functional theory data (PBE) for an optimized crystal structure of In16Sn6Hg7.

The structure belongs to space group Fm-3m (No. 225); the cell edges are 14.860, 14.860 and 14.860 Å and the angles 90.00°, 90.00° and 90.00°. The distinct sites, in fractional coordinates, are In at (0.120, 0.120, 0.120), In at (0.154, 0.154, 0.346), Sn at (0.000, 0.000, 0.344), Hg at (0.000, 0.000, 0.000) and Hg at (0.000, 0.250, 0.250).

Its formation enthalpy at 0 K is 0.055 eV per atom. For the total moment, the calculation gives 0.0 Bohr magnetons per cell.

=====

Density functional theory data (PBE) for an optimized crystal structure of Sr2Li2IrO6.

The structure belongs to space group R-3m (No. 166, hexagonal axes); the cell edges are 5.7488, 5.7488 and 14.9428 Å and the angles 90.00°, 90.00° and 120.00°. The distinct sites, in fractional coordinates, are Sr at (0.0000, 0.0000, 0.2233), Li at (0.0000, 0.0000, 0.4238), Ir at (0.0000, 0.0000, 0.0000) and O at (0.0243, 0.5122, 0.7464).

As for the calculated total energy: -5.953 eV/atom. For the total moment, the calculation gives 8.8 Bohr magnetons per cell.

=====

Density functional theory data (PBE) for an optimized crystal structure of HfSi3I.

The structure belongs to space group Pm-3m (No. 221); the cell edges are 5.060, 5.060 and 5.060 Å and the angles 90.00°, 90.00° and 90.00°. The distinct sites, in fractional coordinates, are Hf at (0.000, 0.000, 0.000), Si at (0.000, 0.500, 0.500) and I at (0.500, 0.500, 0.500).

For the total moment, the calculation gives 0.0 Bohr magnetons per cell. The energy above the most stable polymorph in this dataset comes out at 863 meV/atom.

=====

Density functional theory data (PBE) for an optimized crystal structure of Ta3Fe.

The structure belongs to space group P4/mmm (No. 123); the cell edges are 4.495, 4.495 and 3.223 Å and the angles 90.00°, 90.00° and 90.00°. The distinct sites, in fractional coordinates, are Ta at (0.000, 0.000, 0.000), Ta at (0.000, 0.500, 0.500) and Fe at (0.500, 0.500, 0.000).

Its formation enthalpy at 0 K is -0.003 eV per atom. For the total moment, the calculation gives 0.3 Bohr magnetons per cell.

=====

Density functional theory data (PBE) for an optimized crystal structure of TbGa2TeO8.

The structure belongs to space group I-4m2 (No. 119); the cell edges are 6.787, 6.787 and 6.559 Å and the angles 90.00°, 90.00° and 90.00°. The distinct sites, in fractional coordinates, are Tb at (0.000, 0.000, 0.000), Ga at (0.000, 0.000, 0.500), Ga at (0.000, 0.500, 0.750), Te at (0.000, 0.500, 0.250), O at (0.000, 0.201, 0.306) and O at (0.000, 0.327, 0.966).

As for the calculated total energy: -5.992 eV/atom. For the total moment, the calculation gives 2.2 Bohr magnetons per cell.

=====

Density functional theory data (PBE) for an optimized crystal structure of Na4Sr3Li2.

The structure belongs to space group C2/m (No. 12); the cell edges are 13.035, 5.767 and 10.110 Å and the angles 90.00°, 110.44° and 90.00°. The distinct sites, in fractional coordinates, are Na at (0.103, 0.000, 0.162), Na at (0.184, 0.500, 0.517), Sr at (0.000, 0.000, 0.500), Sr at (0.106, 0.500, 0.860) and Li at (0.235, 0.500, 0.234).

Its formation enthalpy at 0 K is 0.058 eV per atom. For the total moment, the calculation gives 0.0 Bohr magnetons per cell.

=====

Density functional theory data (PBE) for an optimized crystal structure of Zr3BiH.

The structure belongs to space group P2_1/m (No. 11); the cell edges are 3.881, 9.141 and 5.850 Å and the angles 90.00°, 108.91° and 90.00°. The distinct sites, in fractional coordinates, are Zr at (0.029, 0.250, 0.078), Zr at (0.352, 0.044, 0.734), Bi at (0.262, 0.750, 0.496) and H at (0.448, 0.250, 0.922).

For the total moment, the calculation gives 0.0 Bohr magnetons per cell. The energy above the most stable polymorph in this dataset comes out at 53 meV/atom.

=====

Density functional theory data (PBE) for an optimized crystal structure of Sm8Ge3Te4S.

The structure belongs to space group R-3m (No. 166, hexagonal axes); the cell edges are 8.5834, 8.5834 and 21.6098 Å and the angles 90.00°, 90.00° and 120.00°. The distinct sites, in fractional coordinates, are Sm at (0.0000, 0.0000, 0.2415), Sm at (0.0020, 0.5010, 0.7598), Ge at (0.0000, 0.5000, 0.5000), Te at (0.0000, 0.0000, 0.0000), Te at (0.0000, 0.5000, 0.0000) and S at (0.0000, 0.0000, 0.5000).

As for the calculated total energy: -5.634 eV/atom. For the total moment, the calculation gives 0.0 Bohr magnetons per cell.

=====

Density functional theory data (PBE) for an optimized crystal structure of Yb11Mn12C18.

The structure belongs to space group I-43m (No. 217); the cell edges are 10.130, 10.130 and 10.130 Å and the angles 90.00°, 90.00° and 90.00°. The distinct sites, in fractional coordinates, are Yb at (0.000, 0.000, 0.000), Yb at (0.000, 0.250, 0.500), Yb at (0.206, 0.206, 0.794), Mn at (0.079, 0.079, 0.263), C at (0.000, 0.000, 0.432) and C at (0.038, 0.256, 0.256).

Its formation enthalpy at 0 K is -0.142 eV per atom. For the total moment, the calculation gives 1.6 Bohr magnetons per cell.